1.
The following is a DFT calculation (GGA-PBE) of an optimized crystal structure of TcTeW2.

abc: 3.186 3.186 6.783
angles: 90.00 90.00 90.00
Space group P4mm (No. 99)
One atom of each set of equivalent atoms:
Tc: 0.000 0.000 0.000 (multiplicity 1)
Te: 0.500 0.500 0.277 (multiplicity 1)
W: 0.000 0.000 0.542 (multiplicity 1)
W: 0.500 0.500 0.781 (multiplicity 1)

* total magnetic moment: 0.000 μB per atom
* calculated total energy: -9.479 eV/atom
* calculated volume: 68.9 Å³/f.u.
* energy relative to the elements, uncorrected: 375 meV/atom

---

2.
The following is a DFT calculation (GGA-PBE) of an optimized crystal structure of TcTeW2.

abc: 3.228 4.775 9.314
angles: 90.00 90.00 90.00
Space group Cmm2 (No. 35)
One atom of each set of equivalent atoms:
Tc: 0.000 0.000 0.000 (multiplicity 2)
Te: 0.000 0.500 0.273 (multiplicity 2)
W: 0.000 0.000 0.552 (multiplicity 2)
W: 0.000 0.500 0.781 (multiplicity 2)

* total magnetic moment: 0.000 μB per atom
* calculated total energy: -9.208 eV/atom
* calculated volume: 71.8 Å³/f.u.
* energy relative to the elements, uncorrected: 646 meV/atom

---

3.
The following is a DFT calculation (GGA-PBE) of an optimized crystal structure of TcTeW2.

abc: 3.1101 3.1101 25.4076
angles: 90.00 90.00 120.00
Space group R3m (No. 160, hexagonal axes)
One atom of each set of equivalent atoms:
Tc: 0.0000 0.0000 0.0000 (multiplicity 3)
Te: 0.0000 0.0000 0.7562 (multiplicity 3)
W: 0.0000 0.0000 0.2564 (multiplicity 3)
W: 0.0000 0.0000 0.5111 (multiplicity 3)

* total magnetic moment: 0.000 μB per atom
* calculated total energy: -9.320 eV/atom
* calculated volume: 70.9 Å³/f.u.
* energy relative to the elements, uncorrected: 533 meV/atom